TbSn2Au | Alexandria via LeMat-Bulk | GGA-PBE | relaxed; energy of formation = -56 kJ/mol of atoms; space group = No. 129
1.0
4.514 0.000 0.000
0.000 4.514 0.000
0.000 0.000 9.467
Au Tb Sn
2 2 4
direct
0.500 0.500 0.000 Au
0.000 0.000 0.000 Au
0.000 0.500 0.238 Tb
0.500 0.000 0.762 Tb
0.500 0.500 0.500 Sn
0.000 0.500 0.806 Sn
0.500 0.000 0.194 Sn
0.000 0.000 0.500 Sn